(1)
# LaMgBe2

A crystal of LaMgBe2 relaxed with PBEsol (SCAN, the Alexandria database).

## Properties
D(E_F)	2.3	states/eV/f.u.
V	152.3	Å³ per cell
formation energy	0.276	eV/atom
total moment	0.00	μB per formula unit
energy	-111.4	eV per cell

```
data_LaMgBe2
_chemical_formula_sum 'La2 Mg2 Be4'
_symmetry_space_group_name_H-M 'I m m 2'
_symmetry_Int_Tables_number 44
_cell_length_a 4.049
_cell_length_b 5.062
_cell_length_c 7.433
_cell_angle_alpha 90.00
_cell_angle_beta 90.00
_cell_angle_gamma 90.00
loop_
_symmetry_equiv_pos_as_xyz
'x,y,z'
'-x,-y,z'
'-x,y,z'
'x,-y,z'
'x+1/2,y+1/2,z+1/2'
'-x+1/2,-y+1/2,z+1/2'
'-x+1/2,y+1/2,z+1/2'
'x+1/2,-y+1/2,z+1/2'
loop_
_atom_site_label
_atom_site_fract_x
_atom_site_fract_y
_atom_site_fract_z
La1 0.000 0.000 0.000
Mg1 0.000 0.500 0.807
Be1 0.000 0.000 0.586
Be2 0.000 0.500 0.196
```

***

(2)
# LaMg2Be

A crystal of LaMg2Be relaxed with PBEsol (SCAN, the Alexandria database).

## Properties
D(E_F)	2.7	states/eV/f.u.
V	84.6	Å³ per cell
formation energy	0.171	eV/atom
total moment	0.00	μB per formula unit
energy	-56.7	eV per cell

```
data_LaMg2Be
_chemical_formula_sum 'La1 Mg2 Be1'
_symmetry_space_group_name_H-M 'P 4/m m m'
_symmetry_Int_Tables_number 123
_symmetry_space_group_name_Hall '-P 4 2'
_cell_length_a 3.157
_cell_length_b 3.157
_cell_length_c 8.486
_cell_angle_alpha 90.00
_cell_angle_beta 90.00
_cell_angle_gamma 90.00
loop_
_atom_site_label
_atom_site_fract_x
_atom_site_fract_y
_atom_site_fract_z
La1 0.000 0.000 0.000
Mg1 0.500 0.500 0.317
Be1 0.000 0.000 0.500
```

***

(3)
# La3MgBe

A crystal of La3MgBe relaxed with PBEsol (SCAN, the Alexandria database).

## Properties
D(E_F)	8.5	states/eV/f.u.
V	159.2	Å³ per cell
formation energy	0.271	eV/atom
total moment	1.80	μB per formula unit
energy	-137.3	eV per cell

```
data_La3MgBe
_chemical_formula_sum 'La3 Mg1 Be1'
_symmetry_space_group_name_H-M 'P m -3 m'
_symmetry_Int_Tables_number 221
_symmetry_space_group_name_Hall '-P 4 2 3'
_cell_length_a 5.420
_cell_length_b 5.420
_cell_length_c 5.420
_cell_angle_alpha 90.00
_cell_angle_beta 90.00
_cell_angle_gamma 90.00
loop_
_atom_site_label
_atom_site_fract_x
_atom_site_fract_y
_atom_site_fract_z
La1 0.000 0.000 0.500
Mg1 0.500 0.500 0.500
Be1 0.000 0.000 0.000
```